Entry 1:
The following is a DFT calculation (GGA-PBE) of crystalline UPa2Ir at its relaxed geometry.

```
data_UPa2Ir
_cell_length_a 6.9623
_cell_length_b 6.9623
_cell_length_c 6.9623
_cell_angle_alpha 90.00
_cell_angle_beta 90.00
_cell_angle_gamma 90.00
_symmetry_space_group_name_H-M 'F m -3 m'
_symmetry_Int_Tables_number 225
_symmetry_space_group_name_Hall '-F 4 2 3'
loop_
_atom_site_label
_atom_site_fract_x
_atom_site_fract_y
_atom_site_fract_z
U1 0.0000 0.0000 0.0000
Pa1 0.2500 0.2500 0.2500
Ir1 0.0000 0.0000 0.5000
```

Summary:
relative energy among the computed polymorphs = 0.1217 eV/atom
E = -9.99 eV/atom
ΔH_f (0 K) = -209.7 meV per atom

***

Entry 2:
The following is a DFT calculation (GGA-PBE) of crystalline PaV2Ir at its relaxed geometry.

```
data_PaV2Ir
_cell_length_a 6.3561
_cell_length_b 6.3561
_cell_length_c 6.3561
_cell_angle_alpha 90.00
_cell_angle_beta 90.00
_cell_angle_gamma 90.00
_symmetry_space_group_name_H-M 'F m -3 m'
_symmetry_Int_Tables_number 225
_symmetry_space_group_name_Hall '-F 4 2 3'
loop_
_atom_site_label
_atom_site_fract_x
_atom_site_fract_y
_atom_site_fract_z
Pa1 0.0000 0.0000 0.0000
V1 0.2500 0.2500 0.2500
Ir1 0.0000 0.0000 0.5000
```

Summary:
relative energy among the computed polymorphs = 0.0000 eV/atom
E = -9.28 eV/atom
ΔH_f (0 K) = -130.0 meV per atom

***

Entry 3:
The following is a DFT calculation (GGA-PBE) of crystalline PaV2Ir at its relaxed geometry.

```
data_PaV2Ir
_cell_length_a 3.2572
_cell_length_b 3.2572
_cell_length_c 6.1718
_cell_angle_alpha 90.00
_cell_angle_beta 90.00
_cell_angle_gamma 90.00
_symmetry_space_group_name_H-M 'P 4/m m m'
_symmetry_Int_Tables_number 123
_symmetry_space_group_name_Hall '-P 4 2'
loop_
_atom_site_label
_atom_site_fract_x
_atom_site_fract_y
_atom_site_fract_z
Pa1 0.0000 0.0000 0.0000
V1 0.5000 0.5000 0.2630
Ir1 0.0000 0.0000 0.5000
```

Summary:
relative energy among the computed polymorphs = 0.1767 eV/atom
E = -9.10 eV/atom
ΔH_f (0 K) = 46.7 meV per atom

***

Entry 4:
The following is a DFT calculation (GGA-PBE) of crystalline Pa2VIr at its relaxed geometry.

```
data_Pa2VIr
_cell_length_a 3.0050
_cell_length_b 3.0050
_cell_length_c 30.0858
_cell_angle_alpha 90.00
_cell_angle_beta 90.00
_cell_angle_gamma 120.00
_symmetry_space_group_name_H-M 'R -3 m'
_symmetry_Int_Tables_number 166
_symmetry_space_group_name_Hall '-R 3 2"'
loop_
_atom_site_label
_atom_site_fract_x
_atom_site_fract_y
_atom_site_fract_z
Pa1 0.0000 0.0000 0.0854
V1 0.0000 0.0000 0.0000
Ir1 0.0000 0.0000 0.5000
```

Summary:
E = -9.03 eV/atom
ΔH_f (0 K) = 217.3 meV per atom

***

Entry 5:
The following is a DFT calculation (GGA-PBE) of crystalline PaIr2W at its relaxed geometry.

```
data_PaIr2W
_cell_length_a 4.2668
_cell_length_b 4.2668
_cell_length_c 15.0113
_cell_angle_alpha 90.00
_cell_angle_beta 90.00
_cell_angle_gamma 120.00
_symmetry_space_group_name_H-M 'R -3 m'
_symmetry_Int_Tables_number 166
_symmetry_space_group_name_Hall '-R 3 2"'
loop_
_atom_site_label
_atom_site_fract_x
_atom_site_fract_y
_atom_site_fract_z
Pa1 0.0000 0.0000 0.0000
Ir1 0.0000 0.0000 0.2195
W1 0.0000 0.0000 0.5000
```

Summary:
E = -10.31 eV/atom
ΔH_f (0 K) = -265.3 meV per atom

***

Entry 6:
The following is a DFT calculation (GGA-PBE) of crystalline Pa2IrW at its relaxed geometry.

```
data_Pa2IrW
_cell_length_a 3.0085
_cell_length_b 3.0085
_cell_length_c 31.1770
_cell_angle_alpha 90.00
_cell_angle_beta 90.00
_cell_angle_gamma 120.00
_symmetry_space_group_name_H-M 'R -3 m'
_symmetry_Int_Tables_number 166
_symmetry_space_group_name_Hall '-R 3 2"'
loop_
_atom_site_label
_atom_site_fract_x
_atom_site_fract_y
_atom_site_fract_z
Pa1 0.0000 0.0000 0.0888
Ir1 0.0000 0.0000 0.5000
W1 0.0000 0.0000 0.0000
```

Summary:
E = -9.83 eV/atom
ΔH_f (0 K) = 372.1 meV per atom